Compound: Ce2BeSnPd6
Source: Alexandria via LeMat-Bulk
Functional: PBE
Structure: relaxed

Cell lengths 5.738, 7.472, 7.645 Å; angles 44.61, 66.16, 88.50 degrees
Element x y z (fractional)
1 Pd 0.702 0.296 0.923
2 Be 0.500 0.500 0.000
3 Pd 0.667 0.839 0.515
4 Pd 0.298 0.704 0.077
5 Pd 0.840 0.668 0.978
6 Ce 0.231 0.767 0.443
7 Pd 0.333 0.161 0.485
8 Sn 0.000 0.000 0.000
9 Ce 0.769 0.233 0.557
10 Pd 0.160 0.332 0.022

## Properties
- Energy of formation: -6.02 eV per formula unit
- V: 19.234 A^3/atom
- Total energy: -5.677 eV per atom
- SG: No. 2
- Fermi-level density of states: 13.659 states/eV/cell
- Theoretical density: 9.03 g cm⁻³